This record from Alexandria describes a relaxed structure of DyZr2Sc2. The functional is PBE-GGA.

```
DyZr2Sc2
1.0
8.6594 0.0000 0.0000
0.0000 8.6594 0.0000
0.0000 0.0000 3.3812
Dy Zr Sc
2 4 4
direct
0.0000 0.0000 0.0000
0.5000 0.5000 0.0000
0.1723 0.3277 0.5000
0.3277 0.8277 0.5000
0.6723 0.1723 0.5000
0.8277 0.6723 0.5000
0.1236 0.6236 0.0000
0.3764 0.1236 0.0000
0.6236 0.8764 0.0000
0.8764 0.3764 0.0000
```

symmetry	P4/mbm, No. 127
total moment	0.0	μB per formula unit
total DFT energy (no corrections)	-6.78	eV/atom